<A>
YBe2Tc GGA-PBEsol relaxed; SG = Cmmm; total magnetic moment = 0.00 μB/f.u.; Fermi-level density of states = 0.70 states/eV per atom
1.0
-2.3879 1.2459 1.5304
-2.6704 -2.8529 -1.8441
1.2925 -1.9712 3.6214
Y Be Tc
1 2 1
direct
0.5000 0.0000 0.0000
0.0000 0.0000 0.5000
0.0000 0.5000 0.0000
0.5000 0.5000 0.5000

---

<B>
YBe2Tc GGA-PBEsol relaxed; SG = Imm2; total magnetic moment = 0.00 μB/f.u.; Fermi-level density of states = 0.76 states/eV per atom
1.0
3.2568 0.0000 0.0000
0.0000 4.4333 0.0000
-1.6284 -2.2166 3.9541
Y Be Tc
1 2 1
direct
0.2582 0.7582 0.5164
0.0416 0.0416 0.0832
0.7310 0.2310 0.4619
0.4692 0.4692 0.9384

---

Which of them is the least stable? Correct choice: <A>.

---

<A>
LiAg2F4 GGA-PBEsol relaxed; SG = Ccce; total magnetic moment = 0.16 μB/f.u.; Fermi-level density of states = 0.87 states/eV per atom
1.0
-0.9251 5.9924 -0.4757
-2.7309 0.1631 7.3653
7.2715 1.3337 2.6604
F Ag Li
16 8 4
direct
0.3003 0.2649 0.9449
0.3001 0.4450 0.2351
0.6999 0.7649 0.5550
0.6997 0.0551 0.7351
0.8003 0.4449 0.7649
0.1997 0.7649 0.4449
0.3003 0.7351 0.0551
0.1999 0.9450 0.7351
0.8001 0.7351 0.9450
0.1997 0.2351 0.5551
0.6999 0.2351 0.4450
0.1999 0.0550 0.2649
0.8003 0.5551 0.2351
0.8001 0.2649 0.0550
0.6997 0.9449 0.2649
0.3001 0.5550 0.7649
0.0000 0.8393 0.1607
0.0000 0.1607 0.8393
0.5000 0.3393 0.6607
0.0000 0.6603 0.6603
0.5000 0.8397 0.8397
0.5000 0.6607 0.3393
0.0000 0.3397 0.3397
0.5000 0.1603 0.1603
0.7265 0.0000 0.5000
0.2735 0.5000 0.0000
0.2265 0.0000 0.5000
0.7735 0.5000 0.0000

---

<B>
LiAg2F4 GGA-PBEsol relaxed; SG = P2_1/m; total magnetic moment = 0.90 μB/f.u.; Fermi-level density of states = 0.32 states/eV per atom
1.0
-0.6053 -2.9800 1.0038
4.8053 -1.4355 -2.4068
5.0375 1.9689 8.8832
Li F Ag
2 8 4
direct
0.1328 0.2978 0.7500
0.8672 0.7022 0.2500
0.0000 0.5000 0.0000
0.6323 0.5065 0.7500
0.0000 0.5000 0.5000
0.2501 0.0686 0.8815
0.3677 0.4935 0.2500
0.7499 0.9314 0.1185
0.2501 0.0686 0.6185
0.7499 0.9314 0.3815
0.3554 0.2316 0.0824
0.6446 0.7684 0.5824
0.6446 0.7684 0.9176
0.3554 0.2316 0.4176

---

Which of them is the least stable? Correct choice: <A>.